# 1
First-principles (PBE) data for crystalline Ba2CuMo at its relaxed geometry, as listed in the Alexandria database.

Calculated values
Energy of formation   987.5 meV per atom
SG   F-43m, No. 216
Theoretical density   6.244 g/cm³
Excess energy over the best structure of this formula in the dataset   322 meV per atom

```
Ba2CuMo
1.0
7.729 0.000 0.000
0.000 7.729 0.000
0.000 0.000 7.729
Ba Cu Mo
8 4 4
direct
0.000 0.000 0.000
0.000 0.500 0.500
0.250 0.250 0.250
0.250 0.750 0.750
0.500 0.000 0.500
0.500 0.500 0.000
0.750 0.250 0.750
0.750 0.750 0.250
0.250 0.250 0.750
0.250 0.750 0.250
0.750 0.250 0.250
0.750 0.750 0.750
0.000 0.000 0.500
0.000 0.500 0.000
0.500 0.000 0.000
0.500 0.500 0.500
```

# 2
First-principles (PBE) data for crystalline ZnNiMo2Br at its relaxed geometry, as listed in the Alexandria database.

Calculated values
SG   P4/mmm, No. 123
Energy relative to the elements, uncorrected   1.40 eV per atom
Theoretical density   7.137 g/cm³

```
ZnNiMo2Br
1.0
4.655 0.000 0.000
0.000 4.655 0.000
0.000 0.000 4.251
Zn Ni Mo Br
1 1 2 1
direct
0.000 0.000 0.000
0.500 0.500 0.000
0.000 0.500 0.500
0.500 0.000 0.500
0.500 0.500 0.500
```

# 3
First-principles (PBE) data for crystalline Tm2Ga2Ni5Ge at its relaxed geometry, as listed in the Alexandria database.

Calculated values
Energy of formation   -386.3 meV per atom
SG   P4/mbm, No. 127
Theoretical density   9.249 g/cm³

```
Tm2Ga2Ni5Ge
1.0
9.639 0.000 0.000
0.000 9.639 0.000
0.000 0.000 3.260
Tm Ga Ni Ge
4 4 10 2
direct
0.175 0.325 0.000
0.325 0.825 0.000
0.675 0.175 0.000
0.825 0.675 0.000
0.125 0.625 0.000
0.375 0.125 0.000
0.625 0.875 0.000
0.875 0.375 0.000
0.000 0.500 0.500
0.050 0.804 0.500
0.196 0.050 0.500
0.304 0.550 0.500
0.450 0.304 0.500
0.500 0.000 0.500
0.550 0.696 0.500
0.696 0.450 0.500
0.804 0.950 0.500
0.950 0.196 0.500
0.000 0.000 0.000
0.500 0.500 0.000
```

# 4
First-principles (PBE) data for crystalline K2ScMn at its relaxed geometry, as listed in the Alexandria database.

Calculated values
Energy of formation   905.1 meV per atom
SG   I4/mmm, No. 139
Theoretical density   2.236 g/cm³
Excess energy over the best structure of this formula in the dataset   403 meV per atom

```
K2ScMn
1.0
4.536 0.000 0.000
0.000 4.536 0.000
0.000 0.000 12.854
K Sc Mn
4 2 2
direct
0.000 0.500 0.250
0.000 0.500 0.750
0.500 0.000 0.250
0.500 0.000 0.750
0.000 0.000 0.000
0.500 0.500 0.500
0.000 0.000 0.500
0.500 0.500 0.000
```

# 5
First-principles (PBE) data for crystalline UTi2Nb at its relaxed geometry, as listed in the Alexandria database.

Calculated values
Energy of formation   188.4 meV per atom
SG   Fm-3m, No. 225
Theoretical density   9.688 g/cm³
Excess energy over the best structure of this formula in the dataset   0 meV per atom

```
UTi2Nb
1.0
6.638 0.000 0.000
0.000 6.638 0.000
0.000 0.000 6.638
U Ti Nb
4 8 4
direct
0.000 0.000 0.000
0.000 0.500 0.500
0.500 0.000 0.500
0.500 0.500 0.000
0.250 0.250 0.250
0.250 0.250 0.750
0.250 0.750 0.250
0.250 0.750 0.750
0.750 0.250 0.250
0.750 0.250 0.750
0.750 0.750 0.250
0.750 0.750 0.750
0.000 0.000 0.500
0.000 0.500 0.000
0.500 0.000 0.000
0.500 0.500 0.500
```

# 6
First-principles (PBE) data for crystalline MgH3F at its relaxed geometry, as listed in the Alexandria database.

Calculated values
SG   Pm-3m, No. 221
Theoretical density   1.615 g/cm³
Excess energy over the best structure of this formula in the dataset   273 meV per atom

```
MgH3F
1.0
3.625 0.000 0.000
0.000 3.625 0.000
0.000 0.000 3.625
Mg H F
1 3 1
direct
0.000 0.000 0.000
0.000 0.500 0.500
0.500 0.000 0.500
0.500 0.500 0.000
0.500 0.500 0.500
```

| no. | N(E_F) (states/eV per cell) |
| --- | --- |
| 1 | 9.74 |
| 2 | 7.25 |
| 3 | 15.44 |
| 4 | 13.44 |
| 5 | 36.08 |
| 6 | 2.05 |